Pm6Pr3Sm2Dy | PBE | relaxed

Its total DFT energy (no corrections) is -4.726 eV per atom. The value obtained for the density of states at the Fermi level is 1.519 states/eV per atom.

Lattice parameters (Å, degrees): 6.333 10.970 12.120 90.00 100.09 90.00
Space group C2/m (No. 12)
Unique sites:
Pm  0.249  0.166  0.247 (multiplicity 8)
Pm  0.250  0.000  0.753 (multiplicity 4)
Pr  0.000  0.167  0.500 (multiplicity 4)
Pr  0.000  0.500  0.500 (multiplicity 2)
Sm  0.000  0.333  0.000 (multiplicity 4)
Dy  0.000  0.000  0.000 (multiplicity 2)